[1]
Crystalline C2SeCl at its relaxed geometry, computed with PBE.

a = 5.722 Å, b = 5.722 Å, c = 7.631 Å
α = 90.00°, β = 90.00°, γ = 90.00°
Space group I-42d (No. 122)
One atom of each set of equivalent atoms:
1 C 0.200 0.250 0.125
2 Se 0.000 0.000 0.000
3 Cl 0.000 0.000 0.500

[2]
Crystalline CSe3Cl at its relaxed geometry, computed with PBE.

a = 4.966 Å, b = 4.966 Å, c = 4.966 Å
α = 90.00°, β = 90.00°, γ = 90.00°
Space group Pm-3m (No. 221)
One atom of each set of equivalent atoms:
1 C 0.000 0.000 0.000
2 Se 0.000 0.500 0.500
3 Cl 0.500 0.500 0.500

[3]
Crystalline Sm6C2Se3Cl at its relaxed geometry, computed with PBE.

a = 17.570 Å, b = 3.915 Å, c = 8.222 Å
α = 90.00°, β = 103.47°, γ = 90.00°
Space group C2/m (No. 12)
One atom of each set of equivalent atoms:
1 Sm 0.024 0.000 0.270
2 Sm 0.176 0.500 0.133
3 Sm 0.177 0.500 0.561
4 C 0.169 0.000 0.334
5 Se 0.000 0.500 0.500
6 Se 0.157 0.000 0.837
7 Cl 0.000 0.500 0.000

[4]
Crystalline Tb6C2SeCl3 at its relaxed geometry, computed with PBE.

a = 6.629 Å, b = 11.488 Å, c = 7.126 Å
α = 90.00°, β = 108.09°, γ = 90.00°
Space group C2/m (No. 12)
One atom of each set of equivalent atoms:
1 Tb 0.201 0.000 0.195
2 Tb 0.247 0.318 0.195
3 C 0.000 0.166 0.000
4 Se 0.000 0.500 0.000
5 Cl 0.000 0.000 0.500
6 Cl 0.000 0.335 0.500

[5]
Crystalline Tb4CSe2Cl at its relaxed geometry, computed with PBE.

a = 6.891 Å, b = 3.868 Å, c = 6.949 Å
α = 90.00°, β = 108.23°, γ = 90.00°
Space group P2/m (No. 10)
One atom of each set of equivalent atoms:
1 Tb 0.208 0.000 0.207
2 Tb 0.225 0.500 0.780
3 C 0.000 0.500 0.000
4 Se 0.500 0.000 0.000
5 Se 0.500 0.500 0.500
6 Cl 0.000 0.000 0.500

[6]
Crystalline Tb6C3Se2Cl at its relaxed geometry, computed with PBE.

a = 17.175 Å, b = 3.755 Å, c = 7.950 Å
α = 90.00°, β = 108.00°, γ = 90.00°
Space group C2/m (No. 12)
One atom of each set of equivalent atoms:
1 Tb 0.012 0.000 0.217
2 Tb 0.157 0.500 0.108
3 Tb 0.179 0.500 0.556
4 C 0.000 0.500 0.000
5 C 0.166 0.000 0.334
6 Se 0.163 0.000 0.827
7 Cl 0.000 0.500 0.500

[7]
Crystalline TiC2SeCl at its relaxed geometry, computed with PBE.

a = 3.888 Å, b = 3.888 Å, c = 5.139 Å
α = 90.00°, β = 90.00°, γ = 90.00°
Space group P4/mmm (No. 123)
One atom of each set of equivalent atoms:
1 Ti 0.000 0.000 0.000
2 C 0.000 0.500 0.500
3 Se 0.000 0.000 0.500
4 Cl 0.500 0.500 0.000

[8]
Crystalline Tm4CSe2Cl at its relaxed geometry, computed with PBE.

a = 6.767 Å, b = 3.787 Å, c = 6.793 Å
α = 90.00°, β = 108.22°, γ = 90.00°
Space group P2/m (No. 10)
One atom of each set of equivalent atoms:
1 Tm 0.205 0.000 0.204
2 Tm 0.223 0.500 0.781
3 C 0.000 0.500 0.000
4 Se 0.500 0.000 0.000
5 Se 0.500 0.500 0.500
6 Cl 0.000 0.000 0.500

[9]
Crystalline SiCCl2 at its relaxed geometry, computed with PBE.

a = 6.511 Å, b = 6.511 Å, c = 6.511 Å
α = 90.00°, β = 90.00°, γ = 90.00°
Space group Fm-3m (No. 225)
One atom of each set of equivalent atoms:
1 Si 0.000 0.000 0.000
2 C 0.000 0.000 0.500
3 Cl 0.250 0.250 0.250

[10]
Crystalline SiCCl2 at its relaxed geometry, computed with PBE.

a = 8.985 Å, b = 8.985 Å, c = 8.985 Å
α = 90.00°, β = 90.00°, γ = 90.00°
Space group Fd-3m (No. 227, origin choice 2)
One atom of each set of equivalent atoms:
1 Si 0.125 0.125 0.125
2 C 0.125 0.125 0.625
3 Cl 0.000 0.000 0.500

[11]
Crystalline Si3CCl7 at its relaxed geometry, computed with PBE.

a = 16.624 Å, b = 9.123 Å, c = 18.438 Å
α = 90.00°, β = 104.96°, γ = 90.00°
Space group C2/c (No. 15)
One atom of each set of equivalent atoms:
1 Si 0.045 0.199 0.312
2 Si 0.063 0.465 0.222
3 Si 0.125 0.487 0.405
4 C 0.051 0.410 0.320
5 Cl 0.006 0.095 0.111
6 Cl 0.090 0.317 0.717
7 Cl 0.097 0.303 0.928
8 Cl 0.127 0.364 0.499
9 Cl 0.150 0.360 0.181
10 Cl 0.159 0.104 0.324
11 Cl 0.243 0.488 0.390

[12]
Crystalline SiCCl3 at its relaxed geometry, computed with PBE.

a = 4.781 Å, b = 4.781 Å, c = 4.781 Å
α = 90.00°, β = 90.00°, γ = 90.00°
Space group Pm-3m (No. 221)
One atom of each set of equivalent atoms:
1 Si 0.000 0.000 0.000
2 C 0.500 0.500 0.500
3 Cl 0.000 0.000 0.500

| no. | volume (Å³ per cell) | E_tot (eV per atom) |
| --- | --- | --- |
| 1 | 249.9 | -3.673 |
| 2 | 122.5 | -2.051 |
| 3 | 550.0 | -6.223 |
| 4 | 515.8 | -5.826 |
| 5 | 175.9 | -5.943 |
| 6 | 487.7 | -6.514 |
| 7 | 77.7 | -4.552 |
| 8 | 165.4 | -5.810 |
| 9 | 276.0 | -2.901 |
| 10 | 725.3 | -2.919 |
| 11 | 2701.6 | -4.462 |
| 12 | 109.3 | -2.976 |